! NbH3 (PBE, relaxed); values from VASP
&SYSTEM
  ibrav = 0, nat = 32, ntyp = 2
/
ATOMIC_SPECIES
Nb 92.91 Nb.upf
H 1.01 H.upf
CELL_PARAMETERS angstrom
-3.771 3.771 3.771
3.771 -3.771 3.771
3.771 3.771 -3.771
ATOMIC_POSITIONS angstrom
Nb 2.210 1.561 -1.561
Nb 4.096 -0.325 0.325
Nb 1.561 -1.561 2.210
Nb 1.561 1.561 1.561
Nb -1.561 2.210 1.561
Nb 0.325 4.096 -0.325
Nb -0.325 0.325 4.096
Nb 3.447 3.447 3.447
H 5.937 -0.650 1.034
H 1.236 -0.280 0.852
H 0.852 1.236 -0.280
H 4.421 -1.034 2.166
H 2.920 1.236 0.280
H 3.491 2.920 -1.236
H -0.280 0.852 1.236
H 2.920 -1.236 3.491
H 4.421 1.034 1.606
H 4.623 2.536 0.280
H 1.236 0.280 2.920
H 2.166 4.421 -1.034
H 0.280 2.920 1.236
H 3.121 2.737 1.606
H 2.737 1.606 3.121
H 2.536 0.280 4.623
H 1.034 5.937 -0.650
H 1.606 4.421 1.034
H 1.606 3.121 2.737
H 1.034 1.606 4.421
H -1.236 3.491 2.920
H -1.034 2.166 4.421
H -0.650 1.034 5.937
H 0.280 4.623 2.536
! volume	6.71	A^3/atom
! total DFT energy (no corrections)	-5.115	eV per atom
! ρ	5.94	g/cm³

=====

! NbH4 (PBE, relaxed); values from VASP
&SYSTEM
  ibrav = 0, nat = 10, ntyp = 2
/
ATOMIC_SPECIES
Nb 92.91 Nb.upf
H 1.01 H.upf
CELL_PARAMETERS angstrom
2.805 -1.611 0.000
2.805 1.611 0.000
-0.173 0.000 8.045
ATOMIC_POSITIONS angstrom
Nb 0.854 0.000 2.800
Nb 4.584 0.000 5.245
H 1.166 0.504 0.921
H 0.839 -0.009 4.705
H 0.691 -0.163 0.827
H 2.720 -0.012 2.151
H 2.718 -0.012 5.894
H 4.272 0.504 7.124
H 4.598 -0.009 3.340
H 4.746 -0.163 7.218
! volume	7.27	A^3/atom
! total DFT energy (no corrections)	-4.762	eV per atom
! ρ	4.43	g/cm³

=====

! NbH4 (PBE, relaxed); values from VASP
&SYSTEM
  ibrav = 0, nat = 20, ntyp = 2
/
ATOMIC_SPECIES
Nb 92.91 Nb.upf
H 1.01 H.upf
CELL_PARAMETERS angstrom
10.199 0.000 0.000
0.000 3.248 0.000
0.000 0.000 3.684
ATOMIC_POSITIONS angstrom
Nb 1.420 0.812 0.027
Nb 3.680 2.436 1.868
Nb 6.519 0.812 1.815
Nb 8.779 2.436 3.657
H 0.396 2.436 3.057
H 0.857 0.812 1.858
H 1.682 2.436 1.031
H 2.062 2.436 2.817
H 3.037 0.812 0.976
H 3.417 0.812 2.873
H 4.243 2.436 0.017
H 4.703 0.812 1.215
H 5.496 2.436 2.469
H 5.956 0.812 3.667
H 6.782 2.436 0.810
H 7.161 2.436 2.708
H 8.137 0.812 0.866
H 8.517 0.812 2.652
H 9.342 2.436 1.825
H 9.803 0.812 0.627
! volume	6.10	A^3/atom
! total DFT energy (no corrections)	-4.704	eV per atom
! ρ	5.28	g/cm³

=====

! NbH (PBE, relaxed); values from VASP
&SYSTEM
  ibrav = 0, nat = 2, ntyp = 2
/
ATOMIC_SPECIES
Nb 92.91 Nb.upf
H 1.01 H.upf
CELL_PARAMETERS angstrom
2.962 0.000 0.000
-1.481 2.565 0.000
0.000 0.000 2.752
ATOMIC_POSITIONS angstrom
Nb 0.000 0.000 0.000
H 0.000 1.710 1.376
! volume	10.45	A^3/atom
! total DFT energy (no corrections)	-6.541	eV per atom
! ρ	7.46	g/cm³

=====

- Look up the total DFT energy (no corrections) of the fourth one.
  -6.541 eV per atom